Entry 1:
First-principles (PBE-GGA) data for a relaxed structure of Dy2PuUC4, as listed in the Alexandria database.

Lattice parameters (Å, degrees): 6.091 3.587 6.199 90.00 110.03 90.00
Sites, in units of the cell vectors:
1 Dy 0.000 0.000 0.000
2 Dy 0.000 0.500 0.500
3 Pu 0.500 0.000 0.500
4 U 0.500 0.500 0.000
5 C 0.282 0.500 0.255
6 C 0.284 0.000 0.771
7 C 0.716 0.000 0.229
8 C 0.718 0.500 0.745

Values from the calculation:
For the total moment, the calculation gives 3.88 Bohr magnetons per cell. For the density of states at the Fermi level, the calculation gives 1.3883 states/eV per atom. The calculation puts the calculated formation energy at -163 meV/atom.

Entry 2:
First-principles (PBE-GGA) data for a relaxed structure of LiBSe2, as listed in the Alexandria database.

Lattice parameters (Å, degrees): 6.717 6.717 6.717 38.36 38.36 38.36
Sites, in units of the cell vectors:
1 Li 0.000 0.000 0.000
2 B 0.500 0.500 0.500
3 Se 0.402 0.402 0.402
4 Se 0.598 0.598 0.598

Values from the calculation:
The calculation puts the total energy at -17.0 eV per cell. For the total moment, the calculation gives 0.00 Bohr magnetons per cell. For the density of states at the Fermi level, the calculation gives 0.0000 states/eV per atom.

Entry 3:
First-principles (PBE-GGA) data for a relaxed structure of LaDy4Ho5, as listed in the Alexandria database.

Lattice parameters (Å, degrees): 3.518 6.751 14.063 94.36 95.80 103.72
Sites, in units of the cell vectors:
1 La 0.000 0.000 0.000
2 Dy 0.192 0.679 0.802
3 Dy 0.480 0.203 0.784
4 Dy 0.520 0.797 0.216
5 Dy 0.808 0.321 0.198
6 Ho 0.012 0.609 0.404
7 Ho 0.288 0.135 0.399
8 Ho 0.500 0.500 0.000
9 Ho 0.712 0.865 0.601
10 Ho 0.988 0.391 0.596

Values from the calculation:
For the total moment, the calculation gives 0.00 Bohr magnetons per cell. For the density of states at the Fermi level, the calculation gives 1.7442 states/eV per atom. The calculation puts the calculated formation energy at 69 meV/atom.

Entry 4:
First-principles (PBE-GGA) data for a relaxed structure of NdCo4Ni, as listed in the Alexandria database.

Lattice parameters (Å, degrees): 4.937 4.937 4.937 60.00 60.00 60.00
Sites, in units of the cell vectors:
1 Nd 0.000 0.000 0.000
2 Co 0.377 0.377 0.377
3 Co 0.377 0.377 0.870
4 Co 0.377 0.870 0.377
5 Co 0.870 0.377 0.377
6 Ni 0.750 0.750 0.750

Values from the calculation:
For the total moment, the calculation gives 6.64 Bohr magnetons per cell. For the density of states at the Fermi level, the calculation gives 1.1233 states/eV per atom. The calculation puts the calculated formation energy at 83 meV/atom.

Entry 5:
First-principles (PBE-GGA) data for a relaxed structure of Th3ZnBi, as listed in the Alexandria database.

Lattice parameters (Å, degrees): 8.563 8.563 5.176 90.00 90.00 124.99
Sites, in units of the cell vectors:
1 Th 0.000 0.500 0.500
2 Th 0.148 0.852 0.000
3 Th 0.319 0.319 0.500
4 Th 0.500 0.000 0.500
5 Th 0.681 0.681 0.500
6 Th 0.852 0.148 0.000
7 Zn 0.084 0.916 0.500
8 Zn 0.916 0.084 0.500
9 Bi 0.366 0.634 0.000
10 Bi 0.634 0.366 0.000

Values from the calculation:
For the total moment, the calculation gives 0.00 Bohr magnetons per cell. For the density of states at the Fermi level, the calculation gives 1.1238 states/eV per atom. The calculation puts the calculated formation energy at 46 meV/atom.

Entry 6:
First-principles (PBE-GGA) data for a relaxed structure of Zn6RuAu5, as listed in the Alexandria database.

Lattice parameters (Å, degrees): 6.625 6.625 7.271 90.00 90.00 143.56
Sites, in units of the cell vectors:
1 Zn 0.000 0.000 0.240
2 Zn 0.000 0.000 0.760
3 Zn 0.341 0.659 0.244
4 Zn 0.341 0.659 0.756
5 Zn 0.659 0.341 0.244
6 Zn 0.659 0.341 0.756
7 Ru 0.500 0.500 0.000
8 Au 0.168 0.832 0.000
9 Au 0.171 0.829 0.500
10 Au 0.500 0.500 0.500
11 Au 0.829 0.171 0.500
12 Au 0.832 0.168 0.000

Values from the calculation:
For the total moment, the calculation gives 0.00 Bohr magnetons per cell. For the density of states at the Fermi level, the calculation gives 0.3895 states/eV per atom. The calculation puts the calculated formation energy at -154 meV/atom.

Entry 7:
First-principles (PBE-GGA) data for a relaxed structure of HoHfZr, as listed in the Alexandria database.

Lattice parameters (Å, degrees): 10.016 10.016 4.695 90.00 90.00 161.39
Sites, in units of the cell vectors:
1 Ho 0.052 0.948 0.750
2 Ho 0.948 0.052 0.250
3 Hf 0.366 0.634 0.750
4 Hf 0.634 0.366 0.250
5 Zr 0.210 0.790 0.750
6 Zr 0.790 0.210 0.250

Values from the calculation:
For the total moment, the calculation gives 0.00 Bohr magnetons per cell. For the density of states at the Fermi level, the calculation gives 1.4351 states/eV per atom. The calculation puts the calculated formation energy at 132 meV/atom.

Entry 8:
First-principles (PBE-GGA) data for a relaxed structure of ScCu3, as listed in the Alexandria database.

Lattice parameters (Å, degrees): 2.843 4.384 4.667 90.00 90.00 90.00
Sites, in units of the cell vectors:
1 Sc 0.000 0.000 0.000
2 Cu 0.000 0.500 0.646
3 Cu 0.500 0.000 0.499
4 Cu 0.500 0.500 0.193

Values from the calculation:
For the total moment, the calculation gives 0.00 Bohr magnetons per cell. For the density of states at the Fermi level, the calculation gives 0.5348 states/eV per atom. The calculation puts the calculated formation energy at -11 meV/atom.

Entry 9:
First-principles (PBE-GGA) data for a relaxed structure of LaAlCo2, as listed in the Alexandria database.

Lattice parameters (Å, degrees): 3.776 5.265 5.265 41.80 90.00 90.00
Sites, in units of the cell vectors:
1 La 0.000 0.000 0.000
2 Al 0.500 0.715 0.715
3 Co 0.000 0.258 0.258
4 Co 0.500 0.392 0.392

Values from the calculation:
For the total moment, the calculation gives 0.00 Bohr magnetons per cell. For the density of states at the Fermi level, the calculation gives 0.8585 states/eV per atom. The calculation puts the calculated formation energy at -122 meV/atom.

Entry 10:
First-principles (PBE-GGA) data for a relaxed structure of TaCrCo2, as listed in the Alexandria database.

Lattice parameters (Å, degrees): 4.214 4.214 4.214 60.00 60.00 60.00
Sites, in units of the cell vectors:
1 Ta 0.000 0.000 0.000
2 Cr 0.500 0.500 0.500
3 Co 0.250 0.250 0.250
4 Co 0.750 0.750 0.750

Values from the calculation:
For the total moment, the calculation gives 4.84 Bohr magnetons per cell. For the density of states at the Fermi level, the calculation gives 0.5933 states/eV per atom. The calculation puts the calculated formation energy at -33 meV/atom.

Entry 11:
First-principles (PBE-GGA) data for a relaxed structure of LiMn2Co, as listed in the Alexandria database.

Lattice parameters (Å, degrees): 2.369 2.369 8.027 90.00 90.00 90.00
Sites, in units of the cell vectors:
1 Li 0.000 0.000 0.000
2 Mn 0.500 0.500 0.274
3 Mn 0.500 0.500 0.726
4 Co 0.000 0.000 0.500

Values from the calculation:
For the total moment, the calculation gives 0.00 Bohr magnetons per cell. For the density of states at the Fermi level, the calculation gives 1.1000 states/eV per atom. The calculation puts the calculated formation energy at 323 meV/atom.

Entry 12:
First-principles (PBE-GGA) data for a relaxed structure of La2TlW, as listed in the Alexandria database.

Lattice parameters (Å, degrees): 3.629 5.197 5.747 90.00 90.44 90.00
Sites, in units of the cell vectors:
1 La 0.000 0.000 0.000
2 La 0.013 0.500 0.588
3 Tl 0.504 0.500 0.125
4 W 0.508 0.000 0.455

Values from the calculation:
For the total moment, the calculation gives 1.26 Bohr magnetons per cell. For the density of states at the Fermi level, the calculation gives 1.4112 states/eV per atom. The calculation puts the calculated formation energy at 390 meV/atom.